1.
A plane-wave DFT calculation with PBE was carried out for TbThTcBr after structural relaxation.

abc: 4.1063 4.1063 23.2052
angles: 90.00 90.00 120.00
Closest atoms and distances in Å follow each position.
Space group R3m (No. 160, hexagonal axes)
Symmetry-distinct sites (fractional):
Tb 0.0000 0.0000 0.0000 (multiplicity 3)  3 Tc 2.91
Th 0.0000 0.0000 0.2081 (multiplicity 3)  3 Tc 2.67
Tc 0.0000 0.0000 0.5943 (multiplicity 3)  3 Th 2.67, 3 Tb 2.91
Br 0.0000 0.0000 0.7640 (multiplicity 3)  3 Tb 3.27, 3 Th 3.50

---

2.
A plane-wave DFT calculation with PBE was carried out for Tb2TeBr after structural relaxation.

Properties
For the relative energy among the computed polymorphs, the calculation gives 3 meV/atom.

abc: 3.9078 3.9078 25.1895
angles: 90.00 90.00 120.00
Closest atoms and distances in Å follow each position.
Space group R3m (No. 160, hexagonal axes)
Symmetry-distinct sites (fractional):
Tb 0.0000 0.0000 0.0000 (multiplicity 3)  3 Te 3.06, 3 Br 3.11
Tb 0.0000 0.0000 0.1698 (multiplicity 3)  3 Te 3.05, 3 Br 3.11
Te 0.0000 0.0000 0.5845 (multiplicity 3)  6 Tb 3.05-3.06
Br 0.0000 0.0000 0.4182 (multiplicity 3)  6 Tb 3.11

---

3.
A plane-wave DFT calculation with PBE was carried out for Tb3TeBr7 after structural relaxation.

abc: 8.4574 8.4574 7.2043
angles: 90.00 90.00 120.00
Closest atoms and distances in Å follow each position.
Space group P3m1 (No. 156)
Symmetry-distinct sites (fractional):
Tb 0.0086 0.5043 0.0000 (multiplicity 3)  5 Br 2.83-3.01, 1 Te 3.00
Te 0.3333 0.6667 0.2547 (multiplicity 1)  3 Tb 3.00
Br 0.1758 0.3516 0.7776 (multiplicity 3)  2 Tb 2.84
Br 0.3508 0.1754 0.2044 (multiplicity 3)  2 Tb 2.83
Br 0.6667 0.3333 0.7695 (multiplicity 1)  3 Tb 3.01

---

Number 1: raw formation energy -202 kJ/mol of formula units. Number 2: raw formation energy -415 kJ/mol of formula units. Number 3: raw formation energy -1898 kJ/mol of formula units.